No. 1
Here is a relaxed BaScPd crystal from the Open Quantum Materials Database. Energies are from PBE.

Values from the calculation:
Offset from the most stable computed form: 0 meV/atom
Space group: No. 216

abc: 5.0853 5.0853 5.0853
angles: 60.00 60.00 60.00
Last column: nearest neighbours and their distance in Å.
Positions (direct):
Ba 0.0000 0.0000 0.0000  4 Pd 3.11
Sc 0.5000 0.5000 0.5000  4 Pd 3.11
Pd 0.2500 0.2500 0.2500  4 Ba 3.11, 4 Sc 3.11



No. 2
Here is a relaxed BaScPdSe3 crystal from the Open Quantum Materials Database. Energies are from PBE.

Values from the calculation:
Uncorrected energy: -5.4219 eV/atom
Space group: No. 62

abc: 14.0544 4.1097 10.5418
angles: 90.00 90.00 90.00
Last column: nearest neighbours and their distance in Å.
Positions (direct):
Ba 0.2312 0.2500 0.0478  7 Se 3.23-3.46, 1 Pd 3.57
Ba 0.2688 0.7500 0.5478  7 Se 3.23-3.46, 1 Pd 3.57
Ba 0.7312 0.2500 0.4522  7 Se 3.23-3.46, 1 Pd 3.57
Ba 0.7688 0.7500 0.9522  7 Se 3.23-3.46, 1 Pd 3.57
Sc 0.0224 0.2500 0.3339  6 Se 2.71-2.79
Sc 0.4776 0.7500 0.8339  6 Se 2.71-2.79
Sc 0.5224 0.2500 0.1661  6 Se 2.71-2.79
Sc 0.9776 0.7500 0.6661  6 Se 2.71-2.79
Pd 0.0008 0.7500 0.0906  4 Se 2.50-2.72
Pd 0.4992 0.2500 0.5906  4 Se 2.50-2.72
Pd 0.5008 0.7500 0.4094  4 Se 2.50-2.72
Pd 0.9992 0.2500 0.9094  4 Se 2.50-2.72
Se 0.0923 0.2500 0.5734  3 Sc 2.71-2.79
Se 0.0961 0.7500 0.8697  3 Pd 2.50-2.69, 1 Sc 2.72
Se 0.1432 0.7500 0.2658  1 Pd 2.72, 2 Sc 2.76
Se 0.3568 0.2500 0.7658  1 Pd 2.72, 2 Sc 2.76
Se 0.4039 0.2500 0.3697  3 Pd 2.50-2.69, 1 Sc 2.72
Se 0.4077 0.7500 0.0734  3 Sc 2.71-2.79
Se 0.5923 0.2500 0.9266  3 Sc 2.71-2.79
Se 0.5961 0.7500 0.6303  3 Pd 2.50-2.69, 1 Sc 2.72
Se 0.6432 0.7500 0.2342  1 Pd 2.72, 2 Sc 2.76
Se 0.8568 0.2500 0.7342  1 Pd 2.72, 2 Sc 2.76
Se 0.9039 0.2500 0.1303  3 Pd 2.50-2.69, 1 Sc 2.72
Se 0.9077 0.7500 0.4266  3 Sc 2.71-2.79



No. 3
Here is a relaxed BaPd3Se4 crystal from the Open Quantum Materials Database. Energies are from PBE.

Values from the calculation:
Uncorrected energy: -4.5712 eV/atom
Space group: No. 223

abc: 7.1959 7.1959 7.1959
angles: 90.00 90.00 90.00
Last column: nearest neighbours and their distance in Å.
Positions (direct):
Ba 0.0000 0.0000 0.0000  8 Se 3.12
Ba 0.5000 0.5000 0.5000  8 Se 3.12
Pd 0.0000 0.2500 0.5000  4 Se 2.54
Pd 0.0000 0.7500 0.5000  4 Se 2.54
Pd 0.2500 0.5000 0.0000  4 Se 2.54
Pd 0.5000 0.0000 0.2500  4 Se 2.54
Pd 0.5000 0.0000 0.7500  4 Se 2.54
Pd 0.7500 0.5000 0.0000  4 Se 2.54
Se 0.2500 0.2500 0.2500  3 Pd 2.54
Se 0.2500 0.2500 0.7500  3 Pd 2.54
Se 0.2500 0.7500 0.2500  3 Pd 2.54
Se 0.2500 0.7500 0.7500  3 Pd 2.54
Se 0.7500 0.2500 0.2500  3 Pd 2.54
Se 0.7500 0.2500 0.7500  3 Pd 2.54
Se 0.7500 0.7500 0.2500  3 Pd 2.54
Se 0.7500 0.7500 0.7500  3 Pd 2.54